Entry 1:
This record from Alexandria describes a relaxed structure of CoSb2Mo. The functional is PBE.

Properties
**Crystal system**: tetragonal
**Fermi-level density of states**: 3.193 states/eV per cell
**Energy relative to the elements, uncorrected**: 1.11 eV per formula unit

a b c (Å): 4.560 4.560 3.334
angles (deg): 90.00 90.00 90.00
Space group P4/mmm (No. 123)
Asymmetric unit:
Co1 0.000 0.000 0.000 x1
Sb1 0.000 0.500 0.500 x2
Mo1 0.500 0.500 0.000 x1

Entry 2:
This record from Alexandria describes a relaxed structure of PmAg2Ge. The functional is PBE.

Properties
**Crystal system**: monoclinic
**Fermi-level density of states**: 3.928 states/eV per cell
**Energy relative to the elements**: -0.237 eV per atom
**Relative energy among the computed polymorphs**: 11 meV/atom

a b c (Å): 4.981 4.822 7.440
angles (deg): 90.00 94.07 90.00
Space group P2_1/m (No. 11)
Asymmetric unit:
Pm1 0.104 0.250 0.208 x2
Ag1 0.336 0.750 0.495 x2
Ag2 0.440 0.750 0.082 x2
Ge1 0.188 0.250 0.655 x2

Entry 3:
This record from Alexandria describes a relaxed structure of LiGdBeAl. The functional is PBE.

Properties
**Crystal system**: cubic
**Fermi-level density of states**: 5.004 states/eV per cell
**Energy relative to the elements**: -0.131 eV per atom

a b c (Å): 6.449 6.449 6.449
angles (deg): 90.00 90.00 90.00
Space group F-43m (No. 216)
Asymmetric unit:
Li1 0.000 0.000 0.000 x4
Gd1 0.250 0.250 0.250 x4
Be1 0.000 0.000 0.500 x4
Al1 0.250 0.250 0.750 x4